Entry from OQMD via LeMat-Bulk: a geometry-optimized Ta2ReW2 structure (GGA-PBE).

Results
For the magnetic moment, the calculation gives 0.01 Bohr magnetons per cell. Its calculated formation energy is 122.37 kJ/mol of atoms.

Cell and atoms, written as POSCAR:
```
Ta2ReW2
1.0
2.619 -2.619 0.000
2.619 2.619 0.000
-2.619 0.000 6.571
W Ta Re
2 2 1
direct
0.410 0.410 0.819 W
0.590 0.590 0.181 W
0.250 0.750 0.500 Ta
0.750 0.250 0.500 Ta
0.000 0.000 0.000 Re
```

Entry from OQMD via LeMat-Bulk: a geometry-optimized TaZn4Re3 structure (GGA-PBE).

Results
For the magnetic moment, the calculation gives 0.05 Bohr magnetons per cell. Its calculated formation energy is 108.65 kJ/mol of atoms.

Cell and atoms, written as POSCAR:
```
TaZn4Re3
1.0
2.543 0.700 5.582
-0.280 5.941 1.654
-4.307 -3.893 -2.100
Re Ta Zn
3 1 4
direct
0.750 0.250 0.500 Re
0.250 0.750 0.500 Re
0.500 0.500 0.000 Re
0.000 0.000 0.000 Ta
0.254 0.254 0.000 Zn
0.746 0.746 0.000 Zn
0.500 0.000 0.500 Zn
0.000 0.500 0.500 Zn
```

Entry from OQMD via LeMat-Bulk: a geometry-optimized TbRe structure (GGA-PBE).

Results
For the magnetic moment, the calculation gives 0.42 Bohr magnetons per cell. Its calculated formation energy is 135.60 kJ/mol of atoms.

Cell and atoms, written as POSCAR:
```
TbRe
1.0
-4.029 -0.477 -0.170
-2.356 3.061 -1.253
-1.869 -0.217 -3.599
Re Tb
1 1
direct
0.000 0.000 0.000 Re
0.500 0.500 0.500 Tb
```

Entry from OQMD via LeMat-Bulk: a geometry-optimized TbRe structure (GGA-PBE).

Results
For the magnetic moment, the calculation gives 0.00 Bohr magnetons per cell. Its calculated formation energy is 76.72 kJ/mol of atoms.

Cell and atoms, written as POSCAR:
```
TbRe
1.0
3.136 0.000 0.000
-1.568 2.716 0.000
0.000 0.000 4.760
Re Tb
1 1
direct
0.667 0.333 0.750 Re
0.333 0.667 0.250 Tb
```

Entry from OQMD via LeMat-Bulk: a geometry-optimized Tb2Re structure (GGA-PBE).

Results
For the magnetic moment, the calculation gives 2.00 Bohr magnetons per cell. Its calculated formation energy is 160.86 kJ/mol of atoms.

Cell and atoms, written as POSCAR:
```
Tb2Re
1.0
4.143 2.392 6.766
-4.143 2.392 6.766
0.000 -4.784 6.766
Tb Re
4 2
direct
0.375 0.875 0.375 Tb
0.375 0.375 0.375 Tb
0.875 0.375 0.375 Tb
0.375 0.375 0.875 Tb
0.500 0.500 0.500 Re
0.250 0.250 0.250 Re
```

Entry from OQMD via LeMat-Bulk: a geometry-optimized TbRe structure (GGA-PBE).

Results
For the magnetic moment, the calculation gives 2.01 Bohr magnetons per cell. Its calculated formation energy is 230.57 kJ/mol of atoms.

Cell and atoms, written as POSCAR:
```
TbRe
1.0
-1.504 -3.466 2.385
-4.332 -1.087 -0.126
-1.306 -3.737 -2.070
Re Tb
1 1
direct
0.000 0.000 0.000 Re
0.250 0.250 0.250 Tb
```

Entry from OQMD via LeMat-Bulk: a geometry-optimized Tb2Re structure (GGA-PBE).

Results
For the magnetic moment, the calculation gives 0.00 Bohr magnetons per cell. Its calculated formation energy is 126.65 kJ/mol of atoms.

Cell and atoms, written as POSCAR:
```
Tb2Re
1.0
0.000 4.111 4.111
4.111 0.000 4.111
4.111 4.111 0.000
Tb Re
4 2
direct
0.125 0.625 0.625 Tb
0.625 0.125 0.625 Tb
0.625 0.625 0.125 Tb
0.625 0.625 0.625 Tb
0.000 0.000 0.000 Re
0.250 0.250 0.250 Re
```

Entry from OQMD via LeMat-Bulk: a geometry-optimized TbRe2Tc2 structure (GGA-PBE).

Results
For the magnetic moment, the calculation gives 0.01 Bohr magnetons per cell. Its calculated formation energy is -0.26 kJ/mol of atoms.

Cell and atoms, written as POSCAR:
```
TbRe2Tc2
1.0
-1.974 -5.618 -0.379
-5.820 -1.047 0.795
3.423 3.701 -3.192
Tc Re Tb
2 2 1
direct
0.250 0.750 0.500 Tc
0.750 0.250 0.500 Tc
0.378 0.378 0.000 Re
0.622 0.622 0.000 Re
0.000 0.000 0.000 Tb
```

Entry from OQMD via LeMat-Bulk: a geometry-optimized TbTmRe4 structure (GGA-PBE).

Results
For the magnetic moment, the calculation gives 0.00 Bohr magnetons per cell. Its calculated formation energy is 199.79 kJ/mol of atoms.

Cell and atoms, written as POSCAR:
```
TbTmRe4
1.0
-4.655 -1.056 -2.331
-1.922 -1.696 4.653
-1.683 4.962 1.113
Tm Re Tb
1 4 1
direct
0.500 0.500 0.500 Tm
0.358 0.642 0.000 Re
0.642 0.358 0.000 Re
0.858 0.858 0.500 Re
0.142 0.142 0.500 Re
0.000 0.000 0.000 Tb
```

Entry from OQMD via LeMat-Bulk: a geometry-optimized TbURe structure (GGA-PBE).

Results
For the magnetic moment, the calculation gives 1.88 Bohr magnetons per cell. Its calculated formation energy is 49.70 kJ/mol of atoms.

Cell and atoms, written as POSCAR:
```
TbURe
1.0
3.684 -2.401 1.781
3.240 2.244 2.641
0.254 -0.839 4.662
Tb Re U
1 1 1
direct
0.750 0.750 0.750 Tb
0.000 0.000 0.000 Re
0.250 0.250 0.250 U
```

Entry from OQMD via LeMat-Bulk: a geometry-optimized TbZnRe structure (GGA-PBE).

Results
For the magnetic moment, the calculation gives 0.66 Bohr magnetons per cell. Its calculated formation energy is 60.34 kJ/mol of atoms.

Cell and atoms, written as POSCAR:
```
TbZnRe
1.0
3.202 -2.955 0.909
-0.386 -2.685 3.529
-0.754 -4.348 -0.583
Re Zn Tb
1 1 1
direct
0.250 0.250 0.250 Re
0.000 0.000 0.000 Zn
0.750 0.750 0.750 Tb
```

Entry from OQMD via LeMat-Bulk: a geometry-optimized Re2Tc structure (GGA-PBE).

Results
For the magnetic moment, the calculation gives 0.00 Bohr magnetons per cell. Its calculated formation energy is 23.56 kJ/mol of atoms.

Cell and atoms, written as POSCAR:
```
Re2Tc
1.0
-1.046 1.723 4.670
-4.171 -1.606 2.428
0.426 -3.101 4.009
Re Tc
4 2
direct
0.125 0.625 0.625 Re
0.625 0.125 0.625 Re
0.625 0.625 0.625 Re
0.625 0.625 0.125 Re
0.250 0.250 0.250 Tc
0.000 0.000 0.000 Tc
```